The following is a PBE calculation of a relaxed structure of Cs2Zn2InH6, from Alexandria.

The crystal system is monoclinic. For the total energy, the calculation gives -54.40 eV per cell.

The space group is C2/m (No. 12) and the conventional cell measures 10.4115, 6.0056 and 7.1786 Å, with angles of 90.00, 119.13 and 90.00 degrees. The inequivalent atoms are Cs at (0.2317, 0.0000, 0.1975), Zn at (0.0650, 0.5000, 0.1972), In at (0.0000, 0.0000, 0.5000), H at (0.0267, 0.2677, 0.3152) and H at (0.2403, 0.0000, 0.6819).